The following is a PBE-GGA calculation of a relaxed Li5CaCd3 crystal, from the Alexandria database.

Lattice parameters (Å, degrees): 8.530 8.530 6.264 90.00 90.00 120.00
Fractional coordinates of all 18 atoms:
Li 0.000 0.343 0.250
Li 0.000 0.657 0.750
Li 0.333 0.667 0.000
Li 0.333 0.667 0.500
Li 0.343 0.000 0.250
Li 0.343 0.343 0.750
Li 0.657 0.000 0.750
Li 0.657 0.657 0.250
Li 0.667 0.333 0.000
Li 0.667 0.333 0.500
Ca 0.000 0.000 0.000
Ca 0.000 0.000 0.500
Cd 0.000 0.340 0.750
Cd 0.000 0.660 0.250
Cd 0.340 0.000 0.750
Cd 0.340 0.340 0.250
Cd 0.660 0.000 0.250
Cd 0.660 0.660 0.750

Properties
The calculation puts the total energy at -1.73 eV/atom. Its formation energy is -1.277 eV/f.u. The value obtained for the density of states at the Fermi level is 0.501 states/eV/atom.

The following is a PBE-GGA calculation of a relaxed Rb2Nd2PuO6 crystal, from the Alexandria database.

Lattice parameters (Å, degrees): 6.229 6.229 7.002 98.26 98.26 119.78
Fractional coordinates of all 11 atoms:
Rb 0.166 0.834 0.000
Rb 0.834 0.166 0.000
Nd 0.334 0.666 0.500
Nd 0.666 0.334 0.500
Pu 0.000 0.000 0.500
O 0.047 0.370 0.667
O 0.252 0.252 0.333
O 0.370 0.047 0.667
O 0.630 0.953 0.333
O 0.748 0.748 0.667
O 0.953 0.630 0.333

Properties
The calculation puts the total energy at -7.74 eV/atom. The formation energy (no corrections) is -260 kJ/mol of atoms. The value obtained for the density of states at the Fermi level is 0.176 states/eV/atom.

The following is a PBE-GGA calculation of a relaxed CsAgAsSe2 crystal, from the Alexandria database.

Lattice parameters (Å, degrees): 6.129 6.129 6.051 90.00 90.00 90.00
Fractional coordinates of all 5 atoms:
Cs 0.000 0.000 0.000
Ag 0.500 0.500 0.500
As 0.000 0.000 0.500
Se 0.000 0.500 0.000
Se 0.500 0.000 0.000

Properties
The calculation puts the total energy at -1.73 eV/atom. The formation energy (no corrections) is 129 kJ/mol of atoms. The energy relative to the lowest polymorph listed for this composition is 1613 meV/atom. The value obtained for the density of states at the Fermi level is 1.012 states/eV/atom.